No. 1
An optimized crystal structure of MnSb2TePd, computed with PBE.

```
MnSb2TePd
1.0
-2.122 4.168 2.123
-0.638 -2.567 4.403
4.811 1.615 1.638
Pd Mn Sb Te
1 1 2 1
direct
0.000 0.000 0.000
0.500 0.500 0.500
0.500 0.000 0.000
0.000 0.500 0.000
0.000 0.000 0.500
```

Energy above the most stable polymorph in this dataset (meV per atom): 585.8
Size of the total moment (μB/f.u.): 0.50
VASP energy (eV per atom): -4.076

---

No. 2
An optimized crystal structure of MnSb2TePd, computed with PBE.

```
MnSb2TePd
1.0
4.948 0.000 0.000
0.000 4.948 0.000
0.000 0.000 5.142
Sb Te Pd Mn
2 1 1 1
direct
0.500 0.000 0.000
0.000 0.500 0.000
0.000 0.000 0.500
0.500 0.500 0.500
0.000 0.000 0.000
```

Energy above the most stable polymorph in this dataset (meV per atom): 0.0
Size of the total moment (μB/f.u.): 2.34
VASP energy (eV per atom): -4.661

---

No. 3
An optimized crystal structure of TiMnSbPd, computed with PBE.

```
TiMnSbPd
1.0
-2.397 -0.349 3.787
-0.498 -4.003 1.984
2.070 -0.849 3.900
Sb Pd Ti Mn
1 1 1 1
direct
0.750 0.750 0.750
0.500 0.500 0.500
0.250 0.250 0.250
0.000 0.000 0.000
```

Size of the total moment (μB/f.u.): 1.53
VASP energy (eV per atom): -6.819

---

No. 4
An optimized crystal structure of YMn2SbPd, computed with PBE.

```
YMn2SbPd
1.0
-1.535 -1.526 4.383
5.260 -2.031 1.135
1.246 4.311 1.938
Sb Pd Mn Y
1 1 2 1
direct
0.000 0.000 0.000
0.500 0.500 0.500
0.500 0.000 0.000
0.000 0.000 0.500
0.000 0.500 0.000
```

Size of the total moment (μB/f.u.): 7.94
VASP energy (eV per atom): -6.130

---

> Which value of size of the total moment does entry 4 give?

7.94 μB/f.u.